The following is a PBE calculation of crystalline Cs2ICl6 at its relaxed geometry, from Alexandria via LeMat-Bulk.

a b c (Å): 7.5873 7.5873 7.5873
angles (deg): 60.00 60.00 60.00
With the nearest neighbours (Å) after each atom.
Fractional coordinates of all 9 atoms:
Cs  0.2500  0.2500  0.2500  12 Cl 3.79
Cs  0.7500  0.7500  0.7500  12 Cl 3.79
I  0.0000  0.0000  0.0000  6 Cl 2.65
Cl  0.2467  0.7533  0.7533  1 I 2.65
Cl  0.2467  0.7533  0.2467  1 I 2.65
Cl  0.7533  0.2467  0.7533  1 I 2.65
Cl  0.7533  0.2467  0.2467  1 I 2.65
Cl  0.7533  0.7533  0.2467  1 I 2.65
Cl  0.2467  0.2467  0.7533  1 I 2.65

Results
Formation energy without anion corrections: -0.93 eV/atom
ρ: 3.26 g/cm³


The following is a PBE calculation of crystalline Cs6I5Cl at its relaxed geometry, from Alexandria via LeMat-Bulk.

a b c (Å): 9.4487 9.4487 9.4815
angles (deg): 99.60 99.60 119.94
With the nearest neighbours (Å) after each atom.
Fractional coordinates of all 12 atoms:
Cs  0.3963  0.0799  0.2399  1 Cl 3.68, 5 I 3.85-3.99
Cs  0.9201  0.6037  0.7601  1 Cl 3.68, 5 I 3.85-3.99
Cs  0.2348  0.2348  0.7599  1 Cl 3.67, 5 I 3.88-4.06
Cs  0.7652  0.7652  0.2401  1 Cl 3.67, 5 I 3.88-4.06
Cs  0.0799  0.3963  0.2399  1 Cl 3.68, 5 I 3.85-3.99
Cs  0.6037  0.9201  0.7601  1 Cl 3.68, 5 I 3.85-3.99
I  0.8288  0.1712  0.5000  6 Cs 3.86-3.99
I  0.6660  0.3340  0.0000  6 Cs 3.88-3.89
I  0.5000  0.5000  0.5000  6 Cs 3.85-4.06
I  0.3340  0.6660  0.0000  6 Cs 3.88-3.89
I  0.1712  0.8288  0.5000  6 Cs 3.86-3.99
Cl  0.0000  0.0000  0.0000  6 Cs 3.67-3.68

Results
Formation energy without anion corrections: -1.61 eV/atom
ρ: 3.52 g/cm³


The following is a PBE calculation of crystalline CsI2Cl at its relaxed geometry, from Alexandria via LeMat-Bulk.

a b c (Å): 4.9650 4.9650 8.9030
angles (deg): 90.00 90.00 90.00
With the nearest neighbours (Å) after each atom.
Fractional coordinates of all 4 atoms:
Cs  0.0000  0.0000  0.0000  4 Cl 3.51
I  0.5000  0.5000  0.3444  1 I 2.77, 1 Cl 3.07
I  0.5000  0.5000  0.6556  1 I 2.77, 1 Cl 3.07
Cl  0.5000  0.5000  0.0000  2 I 3.07

Results
Formation energy without anion corrections: -0.97 eV/atom
ρ: 3.19 g/cm³


The following is a PBE calculation of crystalline CsICl at its relaxed geometry, from Alexandria via LeMat-Bulk.

a b c (Å): 5.3779 5.5555 12.1556
angles (deg): 89.52 77.76 61.22
With the nearest neighbours (Å) after each atom.
Fractional coordinates of all 6 atoms:
Cs  0.8842  0.1512  0.5655  3 Cl 3.54, 3 I 3.93-3.94
Cs  0.4049  0.4082  0.2546  5 Cl 3.38-3.75
I  0.1207  0.2758  0.9624  1 Cl 2.67, 1 I 2.86
I  0.0926  0.5500  0.7619  1 I 2.86
Cl  0.1422  0.0288  0.1520  1 I 2.67
Cl  0.6388  0.7671  0.4330  5 Cs 3.54-3.75

Results
Energy relative to the lowest polymorph listed for this composition: 1.301 kcal/mol of atoms
Formation energy without anion corrections: -1.27 eV/atom
ρ: 3.17 g/cm³


The following is a PBE calculation of crystalline CsI2Cl6 at its relaxed geometry, from Alexandria via LeMat-Bulk.

a b c (Å): 10.3729 7.9572 9.5742
angles (deg): 48.46 49.75 45.83
With the nearest neighbours (Å) after each atom.
Fractional coordinates of all 9 atoms:
Cs  0.5000  0.5000  0.5000  6 Cl 3.51-3.88
I  0.9139  0.4012  0.8620  3 Cl 2.49-2.68
I  0.0861  0.5988  0.1380  3 Cl 2.49-2.68
Cl  0.3722  0.1942  0.0387  1 Cl 2.49, 1 I 2.68
Cl  0.6278  0.8058  0.9613  1 Cl 2.49, 1 I 2.68
Cl  0.7622  0.1259  0.1897  1 I 2.54
Cl  0.9337  0.3341  0.4611  1 I 2.49
Cl  0.2378  0.8741  0.8103  1 I 2.54
Cl  0.0663  0.6659  0.5389  1 I 2.49

Results
Energy relative to the lowest polymorph listed for this composition: 0.119 kcal/mol of atoms
Formation energy without anion corrections: -0.56 eV/atom
ρ: 2.50 g/cm³


The following is a PBE calculation of crystalline CsICl at its relaxed geometry, from Alexandria via LeMat-Bulk.

a b c (Å): 5.0388 7.0341 10.0945
angles (deg): 111.67 90.39 102.02
With the nearest neighbours (Å) after each atom.
Fractional coordinates of all 6 atoms:
Cs  0.4676  0.5658  0.5745  4 Cl 3.40-3.67
Cs  0.3452  0.1826  0.1002  2 Cl 3.36-3.37
I  0.9033  0.3173  0.8321  1 Cl 2.63, 1 I 2.88
I  0.7159  0.6851  0.0031  1 I 2.88
Cl  0.0830  0.9785  0.6948  1 I 2.63
Cl  0.8978  0.3472  0.3374  4 Cs 3.36-3.42

Results
Energy relative to the lowest polymorph listed for this composition: 1.643 kcal/mol of atoms
Formation energy without anion corrections: -1.25 eV/atom
ρ: 3.03 g/cm³


The following is a PBE calculation of crystalline CsI2Cl2 at its relaxed geometry, from Alexandria via LeMat-Bulk.

a b c (Å): 4.6232 4.6232 10.7011
angles (deg): 77.52 77.52 90.00
With the nearest neighbours (Å) after each atom.
Fractional coordinates of all 5 atoms:
Cs  0.0000  0.0000  0.0000  8 Cl 3.53
I  0.7500  0.2500  0.5000  4 I 3.27
I  0.2500  0.7500  0.5000  4 I 3.27
Cl  0.4344  0.4344  0.1312  1 Cl 2.67
Cl  0.5656  0.5656  0.8688  1 Cl 2.67

Results
Energy relative to the lowest polymorph listed for this composition: 0.000 kcal/mol of atoms
Formation energy without anion corrections: -0.64 eV/atom
ρ: 3.49 g/cm³


The following is a PBE calculation of crystalline Cs3ICl6 at its relaxed geometry, from Alexandria via LeMat-Bulk.

a b c (Å): 5.4847 8.9807 17.9014
angles (deg): 90.00 93.04 90.00
With the nearest neighbours (Å) after each atom.
Fractional coordinates of all 20 atoms:
Cs  0.4735  0.1614  0.7697  3 Cl 3.35-3.37
Cs  0.5000  0.5000  0.0000  2 Cl 3.36
Cs  0.5265  0.8386  0.2303  3 Cl 3.35-3.37
Cs  0.9735  0.3386  0.2697  3 Cl 3.35-3.37
Cs  0.0000  0.0000  0.5000  2 Cl 3.36
Cs  0.0265  0.6614  0.7303  3 Cl 3.35-3.37
I  0.5000  0.5000  0.5000  4 Cl 2.54
I  0.0000  0.0000  0.0000  4 Cl 2.54
Cl  0.2834  0.8721  0.9126  1 I 2.54
Cl  0.4896  0.7387  0.5763  1 I 2.54
Cl  0.4568  0.4761  0.1859  4 Cs 3.35-3.37
Cl  0.5432  0.5239  0.8141  4 Cs 3.35-3.37
Cl  0.5104  0.2613  0.4237  1 I 2.54
Cl  0.7166  0.1279  0.0874  1 I 2.54
Cl  0.7834  0.6279  0.4126  1 I 2.54
Cl  0.9896  0.7613  0.0763  1 I 2.54
Cl  0.9568  0.0239  0.6859  4 Cs 3.35-3.37
Cl  0.0432  0.9761  0.3141  4 Cs 3.35-3.37
Cl  0.0104  0.2387  0.9237  1 I 2.54
Cl  0.2166  0.3721  0.5874  1 I 2.54

Results
Energy relative to the lowest polymorph listed for this composition: 0.000 kcal/mol of atoms
Formation energy without anion corrections: -1.29 eV/atom
ρ: 2.78 g/cm³


The following is a PBE calculation of crystalline CsICl at its relaxed geometry, from Alexandria via LeMat-Bulk.

a b c (Å): 4.9622 4.9622 12.2811
angles (deg): 101.53 100.85 90.00
With the nearest neighbours (Å) after each atom.
Fractional coordinates of all 6 atoms:
Cs  0.1719  0.1649  0.3277  5 Cl 3.51-3.56
Cs  0.8281  0.8351  0.6723  5 Cl 3.51-3.56
I  0.4370  0.4401  0.8813  1 I 2.81, 1 Cl 3.03
I  0.5631  0.5599  0.1187  1 I 2.81, 1 Cl 3.03
Cl  0.3049  0.3114  0.6250  1 I 3.03
Cl  0.6951  0.6886  0.3750  1 I 3.03

Results
Energy relative to the lowest polymorph listed for this composition: 0.000 kcal/mol of atoms
Formation energy without anion corrections: -1.32 eV/atom
ρ: 3.37 g/cm³


The following is a PBE calculation of crystalline Cs3I2Cl8 at its relaxed geometry, from Alexandria via LeMat-Bulk.

a b c (Å): 7.3264 7.3264 11.7147
angles (deg): 71.78 71.78 60.00
With the nearest neighbours (Å) after each atom.
Fractional coordinates of all 13 atoms:
Cs  0.0000  0.0000  0.0000  12 Cl 4.03-4.31
Cs  0.7997  0.7997  0.6008  10 Cl 3.52-3.77
Cs  0.2003  0.2003  0.3992  10 Cl 3.52-3.77
I  0.6143  0.6143  0.1572  4 Cl 2.55-2.78
I  0.3857  0.3857  0.8428  4 Cl 2.55-2.78
Cl  0.6922  0.6922  0.9234  1 I 2.55
Cl  0.3078  0.3078  0.0766  1 I 2.55
Cl  0.2205  0.7314  0.3168  1 I 2.78
Cl  0.7314  0.2205  0.3168  1 I 2.78
Cl  0.7314  0.7314  0.3168  1 I 2.78
Cl  0.2686  0.7795  0.6832  1 I 2.78
Cl  0.7795  0.2686  0.6832  1 I 2.78
Cl  0.2686  0.2686  0.6832  1 I 2.78

Results
Formation energy without anion corrections: -0.79 eV/atom
ρ: 3.06 g/cm³


Energy, record by record: -2.524, -2.839, -2.416, -2.685, -2.230, -2.670, -2.168, -2.806, -2.741, -2.363 eV/atom